Compound: Pr2Y3Se6
Source: the Alexandria database
Functional: GGA-PBE
Structure: relaxed

Cell: 7.1759 12.3701 7.2228 Å, 90.00 109.28 90.00°
Space group C2/m (No. 12)
Asymmetric unit:
1 Pr 0.0000 0.1651 0.0000 [4 per cell]
2 Y 0.0000 0.0000 0.5000 [2 per cell]
3 Y 0.0000 0.3344 0.5000 [4 per cell]
4 Se 0.2397 0.5000 0.7429 [4 per cell]
5 Se 0.2496 0.1638 0.7394 [8 per cell]

Calculated values
M_tot = 0.00 μB/f.u.
raw total energy = -6.417 eV/atom
ΔE_f (raw) = -1.8848 eV per atom
N(E_F) = 0.43 states/eV per atom


Compound: Pr2YSe4
Source: the Alexandria database
Functional: GGA-PBE
Structure: relaxed

Cell: 8.3531 8.4625 11.6738 Å, 90.00 90.00 90.00°
Space group Imma (No. 74)
Asymmetric unit:
1 Pr 0.0000 0.0000 0.0000 [4 per cell]
2 Pr 0.2500 0.2500 0.2500 [4 per cell]
3 Y 0.2500 0.2500 0.7500 [4 per cell]
4 Se 0.0000 0.0089 0.7423 [8 per cell]
5 Se 0.2488 0.2500 0.5046 [8 per cell]

Calculated values
M_tot = 0.00 μB/f.u.
raw total energy = -6.140 eV/atom
ΔE_f (raw) = -1.8597 eV per atom
N(E_F) = 0.31 states/eV per atom


Compound: YbPrSe3
Source: the Alexandria database
Functional: GGA-PBE
Structure: relaxed

Cell: 4.0908 13.4321 9.9708 Å, 90.00 90.00 90.00°
Space group Cmcm (No. 63)
Asymmetric unit:
1 Yb 0.0000 0.0000 0.0000 [4 per cell]
2 Pr 0.0000 0.2519 0.2500 [4 per cell]
3 Se 0.0000 0.0908 0.7500 [4 per cell]
4 Se 0.0000 0.3534 0.5652 [8 per cell]

Calculated values
M_tot = 0.43 μB/f.u.
raw total energy = -5.055 eV/atom
ΔE_f (raw) = -1.7028 eV per atom
N(E_F) = 3.03 states/eV per atom


Compound: Pr2ZnSe
Source: the Alexandria database
Functional: GGA-PBE
Structure: relaxed

Cell: 3.7812 3.7812 7.1199 Å, 90.00 90.00 90.00°
Space group P4/mmm (No. 123)
Asymmetric unit:
1 Pr 0.0000 0.0000 0.2485 [2 per cell]
2 Zn 0.5000 0.5000 0.5000 [1 per cell]
3 Se 0.5000 0.5000 0.0000 [1 per cell]

Calculated values
M_tot = 0.00 μB/f.u.
raw total energy = -4.472 eV/atom
ΔE_f (raw) = -0.8922 eV per atom
N(E_F) = 0.82 states/eV per atom


Compound: Pr2ZnSe
Source: the Alexandria database
Functional: GGA-PBE
Structure: relaxed

Cell: 4.1872 4.1872 22.3569 Å, 90.00 90.00 120.00°
Space group R-3m (No. 166, hexagonal axes)
Asymmetric unit:
1 Pr 0.0000 0.0000 0.2459 [6 per cell]
2 Zn 0.0000 0.0000 0.0000 [3 per cell]
3 Se 0.0000 0.0000 0.5000 [3 per cell]

Calculated values
M_tot = 0.00 μB/f.u.
raw total energy = -4.600 eV/atom
ΔE_f (raw) = -1.0202 eV per atom
N(E_F) = 0.50 states/eV per atom


Compound: Pr2ZnSe
Source: the Alexandria database
Functional: GGA-PBE
Structure: relaxed

Cell: 4.1452 24.1275 4.3920 Å, 90.00 90.00 90.00°
Space group Cmcm (No. 63)
Asymmetric unit:
1 Pr 0.0000 0.0690 0.2500 [4 per cell]
2 Pr 0.0000 0.3157 0.2500 [4 per cell]
3 Zn 0.0000 0.4622 0.2500 [4 per cell]
4 Se 0.0000 0.1922 0.2500 [4 per cell]

Calculated values
M_tot = 0.00 μB/f.u.
raw total energy = -4.632 eV/atom
ΔE_f (raw) = -1.0528 eV per atom
N(E_F) = 0.75 states/eV per atom


The lowest ΔE_f (raw) belongs to which entry? Pr2Y3Se6


Among the records above, which one has the lowest raw total energy? Pr2Y3Se6